[1]
A geometry-optimized AcPr3In structure. Source: the Alexandria database, functional PBE.

- polymorph energy (0 for the lowest one) (meV/atom) = 176

```
AcPr3In
1.0
-5.8562 0.2227 -2.5881
-0.3669 -8.2879 0.1178
-2.7136 4.3660 6.5143
Ac Pr In
2 6 2
Direct
0.7500 0.6668 0.3334
0.2500 0.3332 0.6666
0.7500 0.6192 0.8096
0.2500 0.8096 0.6192
0.2500 0.3808 0.1904
0.7500 0.1904 0.3808
0.2499 0.8096 0.1904
0.7501 0.1904 0.8096
0.0000 0.0000 0.0000
0.5000 0.0000 0.0000
```

---

[2]
A geometry-optimized Ac3PrIn3 structure. Source: the Alexandria database, functional PBE.

```
Ac3PrIn3
1.0
7.8347 1.9657 0.5092
-1.7306 7.8899 0.5092
-0.3605 -0.5820 7.7965
Ac Pr In
6 2 6
Direct
0.7442 0.7442 0.5002
0.2438 0.7562 0.5000
0.7562 0.2438 0.5000
0.2818 0.7182 0.0000
0.7182 0.2818 0.0000
0.2558 0.2558 0.4998
0.7631 0.7631 0.0001
0.2369 0.2369 0.9999
0.0000 0.0000 0.2296
0.0000 0.5000 0.7649
0.5000 0.0000 0.7649
0.0000 0.5000 0.2351
0.5000 0.0000 0.2351
0.0000 0.0000 0.7704
```

---

[3]
A geometry-optimized AcPr8In6 structure. Source: the Alexandria database, functional PBE.

```
AcPr8In6
1.0
9.4698 0.0000 0.0000
4.7349 8.2011 0.0000
4.7349 2.7337 6.6673
Ac Pr In
1 8 6
Direct
0.0000 0.0000 0.0000
0.5556 0.2153 0.3457
0.7847 0.1166 0.6543
0.1166 0.4444 0.6543
0.6683 0.6683 0.9951
0.3317 0.3317 0.0049
0.8834 0.5556 0.3457
0.2153 0.8834 0.3457
0.4444 0.7847 0.6543
0.3972 0.0560 0.8343
0.9440 0.2876 0.1657
0.2876 0.6028 0.1657
0.7124 0.3972 0.8343
0.0560 0.7124 0.8343
0.6028 0.9440 0.1657
```

---

Number 1: formation energy from the elements 7 kJ/mol of formula units. Number 2: formation energy from the elements -202 kJ/mol of formula units. Number 3: formation energy from the elements -347 kJ/mol of formula units.